A relaxed AcCoNO crystal. Source: OQMD via LeMat-Bulk, functional GGA+U. Values from VASP.

Geometry as Quantum ESPRESSO input:
```
&SYSTEM
  ibrav = 0, nat = 16, ntyp = 4
/
ATOMIC_SPECIES
Co 58.93 Co.upf
Ac 227.00 Ac.upf
N 14.01 N.upf
O 16.00 O.upf
CELL_PARAMETERS angstrom
5.682 0.000 0.000
0.000 7.725 0.000
0.000 0.000 5.527
ATOMIC_POSITIONS crystal
Co 0.486 0.896 0.503
Co 0.986 0.104 0.503
Co 0.014 0.896 0.003
Co 0.514 0.104 0.003
Ac 0.503 0.677 0.999
Ac 0.003 0.323 0.999
Ac 0.497 0.323 0.499
Ac 0.997 0.677 0.499
N 0.540 0.644 0.496
N 0.960 0.644 0.996
N 0.460 0.356 0.996
N 0.040 0.356 0.496
O 0.812 0.044 0.205
O 0.688 0.044 0.705
O 0.312 0.956 0.205
O 0.188 0.956 0.705
```

For the distance to the lowest polymorph of the same formula, the calculation gives 81 meV per atom. Its space group is Pca2_1. As for the volume: 242.6 Å³/cell.